# 1
Density functional theory data (PBE-GGA) for an optimized crystal structure of ScTl2TeI.

Computed properties:
Mass density in g cm⁻³: 5.07
Raw total energy in eV/atom: -3.171
Relative energy among the computed polymorphs in kJ/mol of formula units: 0.0
Formation energy from raw total energies in meV/atom: -20
D(E_F) in states/eV/cell: 5.72

Lattice parameters (Å, degrees): 6.552 6.552 5.408 90.00 90.00 90.00
Sites, in units of the cell vectors:
Sc: 0.000 0.000 0.000
Tl: 0.000 0.500 0.500
Tl: 0.500 0.000 0.500
Te: 0.000 0.000 0.500
I: 0.500 0.500 0.000



# 2
Density functional theory data (PBE-GGA) for an optimized crystal structure of ScVTeI2.

Computed properties:
Mass density in g cm⁻³: 4.93
Raw total energy in eV/atom: -4.285
Relative energy among the computed polymorphs in kJ/mol of formula units: 0.0
Formation energy from raw total energies in meV/atom: 54
D(E_F) in states/eV/cell: 5.13

Lattice parameters (Å, degrees): 5.396 5.396 5.525 90.00 90.00 90.00
Sites, in units of the cell vectors:
Sc: 0.000 0.000 0.000
V: 0.500 0.500 0.500
Te: 0.500 0.500 0.000
I: 0.000 0.500 0.500
I: 0.500 0.000 0.500



# 3
Density functional theory data (PBE-GGA) for an optimized crystal structure of ScTe2WI.

Computed properties:
Mass density in g cm⁻³: 6.45
Raw total energy in eV/atom: -4.829
Relative energy among the computed polymorphs in kJ/mol of formula units: 0.0
Formation energy from raw total energies in meV/atom: 595
D(E_F) in states/eV/cell: 6.49

Lattice parameters (Å, degrees): 5.354 5.354 5.484 90.00 90.00 90.00
Sites, in units of the cell vectors:
Sc: 0.000 0.000 0.000
Te: 0.000 0.500 0.500
Te: 0.500 0.000 0.500
W: 0.500 0.500 0.500
I: 0.500 0.500 0.000



# 4
Density functional theory data (PBE-GGA) for an optimized crystal structure of ScTeWI2.

Computed properties:
Mass density in g cm⁻³: 6.21
Raw total energy in eV/atom: -4.421
Relative energy among the computed polymorphs in kJ/mol of formula units: 0.0
Formation energy from raw total energies in meV/atom: 684
D(E_F) in states/eV/cell: 6.05

Lattice parameters (Å, degrees): 5.504 5.504 5.388 90.00 90.00 90.00
Sites, in units of the cell vectors:
Sc: 0.000 0.000 0.000
Te: 0.500 0.500 0.000
W: 0.500 0.500 0.500
I: 0.000 0.500 0.500
I: 0.500 0.000 0.500



# 5
Density functional theory data (PBE-GGA) for an optimized crystal structure of YScTe2I.

Computed properties:
Mass density in g cm⁻³: 4.28
Raw total energy in eV/atom: -4.504
Relative energy among the computed polymorphs in kJ/mol of formula units: 95.9
Formation energy from raw total energies in meV/atom: -378
D(E_F) in states/eV/cell: 5.72

Lattice parameters (Å, degrees): 5.895 5.895 5.761 90.00 90.00 90.00
Sites, in units of the cell vectors:
Y: 0.000 0.000 0.000
Sc: 0.500 0.500 0.500
Te: 0.000 0.500 0.000
Te: 0.500 0.000 0.000
I: 0.000 0.000 0.500



# 6
Density functional theory data (PBE-GGA) for an optimized crystal structure of YScTe2I.

Computed properties:
Mass density in g cm⁻³: 5.03
Raw total energy in eV/atom: -4.703
Relative energy among the computed polymorphs in kJ/mol of formula units: 0.0
Formation energy from raw total energies in meV/atom: -577
D(E_F) in states/eV/cell: 3.77

Lattice parameters (Å, degrees): 5.591 5.591 5.452 90.00 90.00 90.00
Sites, in units of the cell vectors:
Y: 0.000 0.000 0.000
Sc: 0.500 0.500 0.500
Te: 0.000 0.500 0.500
Te: 0.500 0.000 0.500
I: 0.500 0.500 0.000



# 7
Density functional theory data (PBE-GGA) for an optimized crystal structure of ScZnTeI2.

Computed properties:
Mass density in g cm⁻³: 4.38
Raw total energy in eV/atom: -3.182
Relative energy among the computed polymorphs in kJ/mol of formula units: 0.0
Formation energy from raw total energies in meV/atom: -413
D(E_F) in states/eV/cell: 4.08

Lattice parameters (Å, degrees): 5.697 5.697 5.744 90.00 90.00 90.00
Sites, in units of the cell vectors:
Sc: 0.000 0.000 0.000
Zn: 0.500 0.500 0.500
Te: 0.000 0.000 0.500
I: 0.000 0.500 0.000
I: 0.500 0.000 0.000



# 8
Density functional theory data (PBE-GGA) for an optimized crystal structure of ScZnTeI2.

Computed properties:
Mass density in g cm⁻³: 5.04
Raw total energy in eV/atom: -2.761
Relative energy among the computed polymorphs in kJ/mol of formula units: 203.0
Formation energy from raw total energies in meV/atom: 8
D(E_F) in states/eV/cell: 5.06

Lattice parameters (Å, degrees): 5.402 5.402 5.557 90.00 90.00 90.00
Sites, in units of the cell vectors:
Sc: 0.000 0.000 0.000
Zn: 0.500 0.500 0.500
Te: 0.500 0.500 0.000
I: 0.000 0.500 0.500
I: 0.500 0.000 0.500



# 9
Density functional theory data (PBE-GGA) for an optimized crystal structure of ZrScTe2I.

Computed properties:
Mass density in g cm⁻³: 4.83
Raw total energy in eV/atom: -4.670
Relative energy among the computed polymorphs in kJ/mol of formula units: 0.0
Formation energy from raw total energies in meV/atom: -127
D(E_F) in states/eV/cell: 6.73

Lattice parameters (Å, degrees): 5.633 5.633 5.618 90.00 90.00 90.00
Sites, in units of the cell vectors:
Zr: 0.000 0.000 0.000
Sc: 0.500 0.500 0.500
Te: 0.000 0.500 0.000
Te: 0.500 0.000 0.000
I: 0.000 0.000 0.500



# 10
Density functional theory data (PBE-GGA) for an optimized crystal structure of ThScI4.

Computed properties:
Mass density in g cm⁻³: 5.74
Raw total energy in eV/atom: -4.333
Formation energy from raw total energies in meV/atom: -1008
D(E_F) in states/eV/cell: 4.85

Lattice parameters (Å, degrees): 7.022 3.972 8.136 90.00 90.19 90.00
Sites, in units of the cell vectors:
Th: 0.000 0.000 0.000
Sc: 0.500 0.500 0.000
I: 0.182 0.500 0.739
I: 0.350 0.000 0.240
I: 0.650 0.000 0.760
I: 0.818 0.500 0.261



# 11
Density functional theory data (PBE-GGA) for an optimized crystal structure of Sc2TiI.

Computed properties:
Mass density in g cm⁻³: 4.82
Raw total energy in eV/atom: -5.257
Relative energy among the computed polymorphs in kJ/mol of formula units: 45.6
Formation energy from raw total energies in meV/atom: 270
D(E_F) in states/eV/cell: 3.93

Lattice parameters (Å, degrees): 5.053 5.053 5.053 60.00 60.00 60.00
Sites, in units of the cell vectors:
Sc: 0.250 0.250 0.250
Sc: 0.750 0.750 0.750
Ti: 0.000 0.000 0.000
I: 0.500 0.500 0.500



# 12
Density functional theory data (PBE-GGA) for an optimized crystal structure of ScTiI.

Computed properties:
Mass density in g cm⁻³: 4.64
Raw total energy in eV/atom: -5.704
Formation energy from raw total energies in meV/atom: -446
D(E_F) in states/eV/cell: 2.10

Lattice parameters (Å, degrees): 3.674 3.675 11.656 89.94 89.84 89.98
Sites, in units of the cell vectors:
Sc: 0.248 0.249 0.195
Sc: 0.752 0.751 0.805
Ti: 0.250 0.250 0.952
Ti: 0.750 0.750 0.048
I: 0.253 0.251 0.665
I: 0.747 0.749 0.335



# 13
Density functional theory data (PBE-GGA) for an optimized crystal structure of ScTi2I.

Computed properties:
Mass density in g cm⁻³: 4.90
Raw total energy in eV/atom: -5.457
Relative energy among the computed polymorphs in kJ/mol of formula units: 0.0
Formation energy from raw total energies in meV/atom: 461
D(E_F) in states/eV/cell: 11.87

Lattice parameters (Å, degrees): 6.343 6.343 6.343 101.21 101.21 127.68
Sites, in units of the cell vectors:
Sc: 0.000 0.000 0.000
Sc: 0.750 0.250 0.500
Ti: 0.166 0.125 0.541
Ti: 0.375 0.834 0.959
Ti: 0.584 0.625 0.459
Ti: 0.875 0.416 0.041
I: 0.250 0.750 0.500
I: 0.500 0.500 0.000



# 14
Density functional theory data (PBE-GGA) for an optimized crystal structure of Sc2TiI.

Computed properties:
Mass density in g cm⁻³: 4.11
Raw total energy in eV/atom: -5.375
Relative energy among the computed polymorphs in kJ/mol of formula units: 0.0
Formation energy from raw total energies in meV/atom: 152
D(E_F) in states/eV/cell: 8.47

Lattice parameters (Å, degrees): 10.350 10.350 10.350 19.39 19.39 19.39
Sites, in units of the cell vectors:
Sc: 0.093 0.093 0.093
Sc: 0.907 0.907 0.907
Ti: 0.500 0.500 0.500
I: 0.000 0.000 0.000